[1]
{
  "formula": "Tb2ErMg6",
  "functional": "PBE",
  "state": "optimized geometry",
  "cell": [[9.083, 0.000, 0.000], [-4.542, 7.867, 0.000], [0.000, 0.000, 3.267]],
  "species": ["Tb", "Tb", "Er", "Mg", "Mg", "Mg", "Mg", "Mg", "Mg"],
  "fractional_positions": [[0.333, 0.667, 0.000], [0.667, 0.333, 0.000], [0.000, 0.000, 0.000], [0.000, 0.332, 0.500], [0.000, 0.668, 0.500], [0.332, 0.000, 0.500], [0.332, 0.332, 0.500], [0.668, 0.000, 0.500], [0.668, 0.668, 0.500]],
  "delta_e_f_mev_per_atom": -69,
  "dos_at_fermi_per_ev_cell": 5.43
}



[2]
{
  "formula": "Tb8Er2Mg",
  "functional": "PBE",
  "state": "optimized geometry",
  "cell": [[8.092, -3.294, 0.000], [8.092, 3.294, 0.000], [-1.302, 0.000, 6.528]],
  "species": ["Tb", "Tb", "Tb", "Tb", "Tb", "Tb", "Tb", "Tb", "Er", "Er", "Mg"],
  "fractional_positions": [[0.096, 0.096, 0.915], [0.158, 0.678, 0.613], [0.254, 0.254, 0.683], [0.322, 0.842, 0.387], [0.678, 0.158, 0.613], [0.746, 0.746, 0.317], [0.842, 0.322, 0.387], [0.904, 0.904, 0.085], [0.312, 0.312, 0.203], [0.688, 0.688, 0.797], [0.500, 0.500, 0.000]],
  "delta_e_f_mev_per_atom": 161,
  "e_above_lowest_polymorph_ev_per_atom": 0.056,
  "dos_at_fermi_per_ev_cell": 16.62
}



[3]
{
  "formula": "Tb7Er3Mg",
  "functional": "PBE",
  "state": "optimized geometry",
  "cell": [[6.974, 0.000, 0.000], [-3.487, 6.039, 0.000], [0.000, 0.000, 8.523]],
  "species": ["Tb", "Tb", "Tb", "Tb", "Tb", "Tb", "Tb", "Er", "Er", "Er", "Mg"],
  "fractional_positions": [[0.000, 0.000, 0.000], [0.001, 0.500, 0.999], [0.327, 0.164, 0.668], [0.500, 0.500, 0.999], [0.500, 0.999, 0.999], [0.836, 0.164, 0.668], [0.836, 0.673, 0.668], [0.165, 0.330, 0.332], [0.165, 0.835, 0.332], [0.670, 0.835, 0.332], [0.333, 0.667, 0.668]],
  "delta_e_f_mev_per_atom": 194,
  "e_above_lowest_polymorph_ev_per_atom": 0.099,
  "dos_at_fermi_per_ev_cell": 14.99
}



[4]
{
  "formula": "Tb2Er2Mg3",
  "functional": "PBE",
  "state": "optimized geometry",
  "cell": [[3.502, 0.000, 0.000], [1.745, 6.894, 0.000], [1.746, 2.963, 8.268]],
  "species": ["Tb", "Tb", "Er", "Er", "Mg", "Mg", "Mg"],
  "fractional_positions": [[0.107, 0.238, 0.046], [0.893, 0.762, 0.954], [0.370, 0.443, 0.317], [0.630, 0.557, 0.683], [0.000, 0.000, 0.500], [0.322, 0.149, 0.709], [0.678, 0.851, 0.291]],
  "delta_e_f_mev_per_atom": 42,
  "e_above_lowest_polymorph_ev_per_atom": 0.016,
  "dos_at_fermi_per_ev_cell": 9.27
}



[5]
{
  "formula": "Tb2Er2Mg3",
  "functional": "PBE",
  "state": "optimized geometry",
  "cell": [[1.916, -14.025, 0.000], [1.916, 14.025, 0.000], [0.000, 0.000, 3.683]],
  "species": ["Tb", "Tb", "Er", "Er", "Mg", "Mg", "Mg"],
  "fractional_positions": [[0.069, 0.931, 0.000], [0.931, 0.069, 0.000], [0.200, 0.800, 0.000], [0.800, 0.200, 0.000], [0.365, 0.635, 0.500], [0.500, 0.500, 0.500], [0.635, 0.365, 0.500]],
  "delta_e_f_mev_per_atom": 26,
  "e_above_lowest_polymorph_ev_per_atom": 0.000,
  "dos_at_fermi_per_ev_cell": 8.99
}



[6]
{
  "formula": "Tb2Er5Mg",
  "functional": "PBE",
  "state": "optimized geometry",
  "cell": [[3.513, 0.000, 0.000], [0.000, 8.538, 0.000], [0.020, 1.145, 16.343]],
  "species": ["Tb", "Tb", "Tb", "Tb", "Er", "Er", "Er", "Er", "Er", "Er", "Er", "Er", "Er", "Er", "Mg", "Mg"],
  "fractional_positions": [[0.001, 0.298, 0.457], [0.002, 0.724, 0.955], [0.998, 0.276, 0.045], [0.999, 0.702, 0.543], [0.007, 0.578, 0.163], [0.497, 0.398, 0.651], [0.498, 0.755, 0.754], [0.499, 0.068, 0.904], [0.499, 0.968, 0.408], [0.501, 0.032, 0.592], [0.501, 0.932, 0.096], [0.502, 0.245, 0.246], [0.503, 0.602, 0.349], [0.993, 0.422, 0.837], [0.000, 0.095, 0.744], [0.000, 0.905, 0.256]],
  "delta_e_f_mev_per_atom": 83,
  "e_above_lowest_polymorph_ev_per_atom": 0.058,
  "dos_at_fermi_per_ev_cell": 24.82
}



[7]
{
  "formula": "Tb6Er8Mg",
  "functional": "PBE",
  "state": "optimized geometry",
  "cell": [[9.232, 0.000, 0.000], [-4.616, 7.995, 0.000], [0.000, 0.000, 6.597]],
  "species": ["Tb", "Tb", "Tb", "Tb", "Tb", "Tb", "Er", "Er", "Er", "Er", "Er", "Er", "Er", "Er", "Mg"],
  "fractional_positions": [[0.087, 0.407, 0.399], [0.320, 0.913, 0.399], [0.407, 0.320, 0.601], [0.593, 0.680, 0.399], [0.680, 0.087, 0.601], [0.913, 0.593, 0.601], [0.018, 0.687, 0.107], [0.313, 0.330, 0.107], [0.330, 0.018, 0.893], [0.333, 0.667, 0.830], [0.667, 0.333, 0.170], [0.670, 0.982, 0.107], [0.687, 0.670, 0.893], [0.982, 0.313, 0.893], [0.000, 0.000, 0.500]],
  "delta_e_f_mev_per_atom": 249,
  "dos_at_fermi_per_ev_cell": 20.23
}



[8]
{
  "formula": "Tb4Er7Mg",
  "functional": "PBE",
  "state": "optimized geometry",
  "cell": [[6.011, -2.869, 0.000], [6.011, 2.869, 0.000], [-5.588, 0.000, 11.114]],
  "species": ["Tb", "Tb", "Tb", "Tb", "Er", "Er", "Er", "Er", "Er", "Er", "Er", "Mg"],
  "fractional_positions": [[0.128, 0.128, 0.269], [0.312, 0.312, 0.850], [0.688, 0.688, 0.150], [0.872, 0.872, 0.731], [0.000, 0.000, 0.500], [0.133, 0.133, 0.986], [0.297, 0.297, 0.572], [0.413, 0.413, 0.217], [0.587, 0.587, 0.783], [0.703, 0.703, 0.428], [0.867, 0.867, 0.014], [0.500, 0.500, 0.500]],
  "delta_e_f_mev_per_atom": 270,
  "e_above_lowest_polymorph_ev_per_atom": 0.251,
  "dos_at_fermi_per_ev_cell": 17.78
}



[9]
{
  "formula": "TbErMg3",
  "functional": "PBE",
  "state": "optimized geometry",
  "cell": [[-2.579, 9.841, 5.209], [2.579, -9.841, 5.209], [2.579, 9.841, -5.209]],
  "species": ["Tb", "Tb", "Tb", "Tb", "Er", "Er", "Er", "Er", "Mg", "Mg", "Mg", "Mg", "Mg", "Mg", "Mg", "Mg", "Mg", "Mg", "Mg", "Mg"],
  "fractional_positions": [[0.180, 0.128, 0.051], [0.423, 0.872, 0.551], [0.577, 0.128, 0.449], [0.820, 0.872, 0.949], [0.128, 0.378, 0.750], [0.372, 0.122, 0.250], [0.628, 0.878, 0.750], [0.872, 0.622, 0.250], [0.007, 0.866, 0.141], [0.050, 0.607, 0.443], [0.225, 0.866, 0.359], [0.279, 0.626, 0.653], [0.336, 0.393, 0.943], [0.474, 0.626, 0.847], [0.526, 0.374, 0.153], [0.664, 0.607, 0.057], [0.721, 0.374, 0.347], [0.775, 0.134, 0.641], [0.950, 0.393, 0.557], [0.993, 0.134, 0.859]],
  "delta_e_f_mev_per_atom": -28,
  "e_above_lowest_polymorph_ev_per_atom": 0.000,
  "dos_at_fermi_per_ev_cell": 21.21
}



[10]
{
  "formula": "Tb4ErMg2",
  "functional": "PBE",
  "state": "optimized geometry",
  "cell": [[2.762, 1.595, 8.791], [-2.762, 1.595, 8.791], [0.000, -3.189, 8.791]],
  "species": ["Tb", "Tb", "Tb", "Tb", "Er", "Mg", "Mg"],
  "fractional_positions": [[0.130, 0.130, 0.130], [0.255, 0.255, 0.255], [0.745, 0.745, 0.745], [0.870, 0.870, 0.870], [0.500, 0.500, 0.500], [0.377, 0.377, 0.377], [0.623, 0.623, 0.623]],
  "delta_e_f_mev_per_atom": 283,
  "e_above_lowest_polymorph_ev_per_atom": 0.300,
  "dos_at_fermi_per_ev_cell": 10.69
}



[11]
{
  "formula": "TbErMgTc",
  "functional": "PBE",
  "state": "optimized geometry",
  "cell": [[0.000, 3.550, 3.550], [3.550, 0.000, 3.550], [3.550, 3.550, 0.000]],
  "species": ["Tb", "Er", "Mg", "Tc"],
  "fractional_positions": [[0.000, 0.000, 0.000], [0.500, 0.500, 0.500], [0.250, 0.250, 0.250], [0.750, 0.750, 0.750]],
  "delta_e_f_mev_per_atom": -19,
  "dos_at_fermi_per_ev_cell": 2.43
}



[12]
{
  "formula": "Tb3Er3MgTe8",
  "functional": "PBE",
  "state": "optimized geometry",
  "cell": [[4.328, 2.499, 7.101], [-4.328, 2.499, 7.101], [0.000, -4.998, 7.101]],
  "species": ["Tb", "Tb", "Tb", "Er", "Er", "Er", "Mg", "Te", "Te", "Te", "Te", "Te", "Te", "Te", "Te"],
  "fractional_positions": [[0.000, 0.500, 0.500], [0.500, 0.000, 0.500], [0.500, 0.500, 0.000], [0.000, 0.000, 0.500], [0.000, 0.500, 0.000], [0.500, 0.000, 0.000], [0.500, 0.500, 0.500], [0.249, 0.249, 0.249], [0.250, 0.747, 0.747], [0.253, 0.253, 0.750], [0.253, 0.750, 0.253], [0.747, 0.250, 0.747], [0.747, 0.747, 0.250], [0.750, 0.253, 0.253], [0.751, 0.751, 0.751]],
  "raw_formation_energy_ev_per_atom": -1.268,
  "dos_at_fermi_per_ev_cell": 4.89
}



[13]
{
  "formula": "Tb4Er2ThMg",
  "functional": "PBE",
  "state": "optimized geometry",
  "cell": [[5.825, 0.000, 0.000], [0.000, 5.825, 0.000], [0.000, 0.000, 7.257]],
  "species": ["Tb", "Tb", "Tb", "Tb", "Er", "Er", "Th", "Mg"],
  "fractional_positions": [[0.000, 0.500, 0.244], [0.000, 0.500, 0.756], [0.500, 0.000, 0.244], [0.500, 0.000, 0.756], [0.000, 0.000, 0.500], [0.500, 0.500, 0.500], [0.000, 0.000, 0.000], [0.500, 0.500, 0.000]],
  "delta_e_f_mev_per_atom": 110,
  "dos_at_fermi_per_ev_cell": 14.89
}



[14]
{
  "formula": "Tb5Er2ThMg",
  "functional": "PBE",
  "state": "optimized geometry",
  "cell": [[2.737, -9.976, 0.000], [2.737, 9.976, 0.000], [0.000, 0.000, 10.401]],
  "species": ["Tb", "Tb", "Tb", "Tb", "Tb", "Tb", "Tb", "Tb", "Tb", "Tb", "Er", "Er", "Er", "Er", "Th", "Th", "Mg", "Mg"],
  "fractional_positions": [[0.000, 0.000, 0.000], [0.000, 0.000, 0.500], [0.122, 0.878, 0.751], [0.214, 0.786, 0.449], [0.215, 0.785, 0.053], [0.487, 0.513, 0.751], [0.513, 0.487, 0.251], [0.785, 0.215, 0.553], [0.786, 0.214, 0.949], [0.878, 0.122, 0.251], [0.386, 0.614, 0.038], [0.386, 0.614, 0.464], [0.614, 0.386, 0.538], [0.614, 0.386, 0.964], [0.302, 0.698, 0.751], [0.698, 0.302, 0.251], [0.096, 0.904, 0.249], [0.904, 0.096, 0.749]],
  "delta_e_f_mev_per_atom": 118,
  "dos_at_fermi_per_ev_cell": 26.43
}



[15]
{
  "formula": "TbErMgTi",
  "functional": "PBE",
  "state": "optimized geometry",
  "cell": [[0.000, 3.705, 3.705], [3.705, 0.000, 3.705], [3.705, 3.705, 0.000]],
  "species": ["Tb", "Er", "Mg", "Ti"],
  "fractional_positions": [[0.000, 0.000, 0.000], [0.500, 0.500, 0.500], [0.750, 0.750, 0.750], [0.250, 0.250, 0.250]],
  "delta_e_f_mev_per_atom": 144,
  "dos_at_fermi_per_ev_cell": 7.35
}



[16]
{
  "formula": "TbEr2MgTl4",
  "functional": "PBE",
  "state": "optimized geometry",
  "cell": [[2.620, 1.513, 8.881], [-2.620, 1.513, 8.881], [0.000, -3.026, 8.881]],
  "species": ["Tb", "Er", "Er", "Mg", "Tl", "Tl", "Tl", "Tl"],
  "fractional_positions": [[0.000, 0.000, 0.000], [0.245, 0.245, 0.245], [0.755, 0.755, 0.755], [0.500, 0.500, 0.500], [0.125, 0.125, 0.125], [0.376, 0.376, 0.376], [0.624, 0.624, 0.624], [0.875, 0.875, 0.875]],
  "delta_e_f_mev_per_atom": -275,
  "dos_at_fermi_per_ev_cell": 4.11
}



[17]
{
  "formula": "Tb2ErMgTl4",
  "functional": "PBE",
  "state": "optimized geometry",
  "cell": [[2.629, 1.518, 8.884], [-2.629, 1.518, 8.884], [0.000, -3.035, 8.884]],
  "species": ["Tb", "Tb", "Er", "Mg", "Tl", "Tl", "Tl", "Tl"],
  "fractional_positions": [[0.244, 0.244, 0.244], [0.756, 0.756, 0.756], [0.000, 0.000, 0.000], [0.500, 0.500, 0.500], [0.123, 0.123, 0.123], [0.375, 0.375, 0.375], [0.625, 0.625, 0.625], [0.877, 0.877, 0.877]],
  "delta_e_f_mev_per_atom": -286,
  "dos_at_fermi_per_ev_cell": 4.35
}



[18]
{
  "formula": "TbEr2Tm2Mg5",
  "functional": "PBE",
  "state": "optimized geometry",
  "cell": [[10.511, 0.000, 0.000], [0.000, 10.511, 0.000], [0.000, 0.000, 5.048]],
  "species": ["Tb", "Tb", "Er", "Er", "Er", "Er", "Tm", "Tm", "Tm", "Tm", "Mg", "Mg", "Mg", "Mg", "Mg", "Mg", "Mg", "Mg", "Mg", "Mg"],
  "fractional_positions": [[0.000, 0.000, 0.000], [0.500, 0.500, 0.000], [0.178, 0.322, 0.000], [0.322, 0.822, 0.000], [0.678, 0.178, 0.000], [0.822, 0.678, 0.000], [0.118, 0.618, 0.000], [0.382, 0.118, 0.000], [0.618, 0.882, 0.000], [0.882, 0.382, 0.000], [0.000, 0.500, 0.500], [0.075, 0.803, 0.500], [0.197, 0.075, 0.500], [0.303, 0.575, 0.500], [0.425, 0.303, 0.500], [0.500, 0.000, 0.500], [0.575, 0.697, 0.500], [0.697, 0.425, 0.500], [0.803, 0.925, 0.500], [0.925, 0.197, 0.500]],
  "delta_e_f_mev_per_atom": 88,
  "dos_at_fermi_per_ev_cell": 17.19
}



[19]
{
  "formula": "TbEr2Tm2Mg",
  "functional": "PBE",
  "state": "optimized geometry",
  "cell": [[10.190, 0.000, 0.000], [0.000, 11.605, 0.000], [0.000, 0.000, 3.582]],
  "species": ["Tb", "Tb", "Er", "Er", "Er", "Er", "Tm", "Tm", "Tm", "Tm", "Mg", "Mg"],
  "fractional_positions": [[0.000, 0.000, 0.000], [0.500, 0.500, 0.500], [0.092, 0.224, 0.500], [0.408, 0.724, 0.000], [0.592, 0.276, 0.000], [0.908, 0.776, 0.500], [0.250, 0.427, 0.000], [0.250, 0.927, 0.500], [0.750, 0.073, 0.500], [0.750, 0.573, 0.000], [0.000, 0.500, 0.500], [0.500, 0.000, 0.000]],
  "delta_e_f_mev_per_atom": 497,
  "dos_at_fermi_per_ev_cell": 15.58
}



[20]
{
  "formula": "Tb2ErTm4Mg",
  "functional": "PBE",
  "state": "optimized geometry",
  "cell": [[4.913, 0.000, 0.000], [0.000, 4.901, 0.000], [-0.007, 0.000, 9.923]],
  "species": ["Tb", "Tb", "Er", "Tm", "Tm", "Tm", "Tm", "Mg"],
  "fractional_positions": [[0.000, 0.000, 0.000], [0.500, 0.500, 0.500], [0.000, 0.000, 0.500], [0.000, 0.500, 0.250], [0.000, 0.500, 0.750], [0.500, 0.000, 0.250], [0.500, 0.000, 0.750], [0.500, 0.500, 0.000]],
  "delta_e_f_mev_per_atom": 28,
  "dos_at_fermi_per_ev_cell": 11.68
}



[21]
{
  "formula": "TbEr4Tm2Mg",
  "functional": "PBE",
  "state": "optimized geometry",
  "cell": [[5.982, 0.000, 0.000], [0.000, 3.526, 0.000], [-2.253, 0.000, 11.311]],
  "species": ["Tb", "Er", "Er", "Er", "Er", "Tm", "Tm", "Mg"],
  "fractional_positions": [[0.000, 0.000, 0.000], [0.243, 0.000, 0.744], [0.261, 0.500, 0.250], [0.739, 0.500, 0.750], [0.757, 0.000, 0.256], [0.500, 0.000, 0.500], [0.500, 0.500, 0.000], [0.000, 0.500, 0.500]],
  "delta_e_f_mev_per_atom": 25,
  "dos_at_fermi_per_ev_cell": 10.47
}